TbGa2Ni (PBE, relaxed); formation energy from the elements = -0.64 eV per atom; spin magnetization = 0.00 μB/cell; space group = Cmmm
1.0
4.058 0.000 0.000
0.000 4.008 -0.978
0.000 0.071 8.992
Ga Tb Ni
4 2 2
Cartesian
0.000 2.004 -0.489
2.029 0.000 0.000
2.029 2.873 3.073
2.029 1.206 4.941
0.000 3.492 5.606
0.000 0.588 2.408
2.029 2.316 0.789
2.029 1.763 7.224